1.
TaFeP2 PBE-GGA optimized geometry; E = -31.71 eV/cell; polymorph energy (0 for the lowest one) = 376 meV per atom; DFT formation energy = -0.145 eV/atom; spin magnetization = 1.72 μB/f.u.; SG = P2/m (10)
1.0
3.2100 0.0000 0.0000
0.0000 5.2293 0.0576
0.0000 3.5311 3.4934
Fe P Ta
1 2 1
direct
0.0000 0.0000 0.5000
0.0000 0.0000 0.0000
0.5000 0.5000 0.0000
0.5000 0.5000 0.5000

***

2.
Er2HSe PBE-GGA optimized geometry; E = -19.32 eV/cell; polymorph energy (0 for the lowest one) = 211 meV per atom; spin magnetization = 0.01 μB/f.u.; SG = R3m (160)
1.0
3.7062 0.0000 0.0000
1.8531 3.2097 0.0000
1.8531 1.0699 7.3037
Er H Se
2 1 1
direct
0.1015 0.1015 0.6954
0.2634 0.2634 0.2097
0.4521 0.4521 0.6437
0.6830 0.6830 0.9511

***

Among the records above, which one has the highest E? Er2HSe

***

Look up the polymorph energy (0 for the lowest one) of the second one. 211 meV per atom

***

Repeat the first record exactly.
TaFeP2 PBE-GGA optimized geometry; E = -31.71 eV/cell; polymorph energy (0 for the lowest one) = 376 meV per atom; DFT formation energy = -0.145 eV/atom; spin magnetization = 1.72 μB/f.u.; SG = P2/m (10)
1.0
3.2100 0.0000 0.0000
0.0000 5.2293 0.0576
0.0000 3.5311 3.4934
Fe P Ta
1 2 1
direct
0.0000 0.0000 0.5000
0.0000 0.0000 0.0000
0.5000 0.5000 0.0000
0.5000 0.5000 0.5000

***

Please write out number 2 again, unchanged.
Er2HSe PBE-GGA optimized geometry; E = -19.32 eV/cell; polymorph energy (0 for the lowest one) = 211 meV per atom; spin magnetization = 0.01 μB/f.u.; SG = R3m (160)
1.0
3.7062 0.0000 0.0000
1.8531 3.2097 0.0000
1.8531 1.0699 7.3037
Er H Se
2 1 1
direct
0.1015 0.1015 0.6954
0.2634 0.2634 0.2097
0.4521 0.4521 0.6437
0.6830 0.6830 0.9511